<w>
## Na2Sc2Si (GGA-PBE)

Data for Na2Sc2Si after structural relaxation.

```
data_Na2Sc2Si
_symmetry_space_group_name_H-M 'I 4/m m m'
_symmetry_Int_Tables_number 139
_symmetry_space_group_name_Hall '-I 4 2'
_cell_length_a 4.0498
_cell_length_b 4.0498
_cell_length_c 16.6502
_cell_angle_alpha 90.00
_cell_angle_beta 90.00
_cell_angle_gamma 90.00
loop_
_atom_site_label
_atom_site_fract_x
_atom_site_fract_y
_atom_site_fract_z
Na1 0.0000 0.0000 0.0839
Sc1 0.0000 0.5000 0.2500
Si1 0.0000 0.0000 0.5000
```

V	27.31	Å³ per atom
magnetization	0.00	μB/f.u.
calculated density	1.99	g/cm3



<x>
## Na2Sc2Si (GGA-PBE)

Data for Na2Sc2Si after structural relaxation.

```
data_Na2Sc2Si
_symmetry_space_group_name_H-M 'P 4/m b m'
_symmetry_Int_Tables_number 127
_symmetry_space_group_name_Hall '-P 4 2ab'
_cell_length_a 6.9529
_cell_length_b 6.9529
_cell_length_c 4.6983
_cell_angle_alpha 90.00
_cell_angle_beta 90.00
_cell_angle_gamma 90.00
loop_
_atom_site_label
_atom_site_fract_x
_atom_site_fract_y
_atom_site_fract_z
Na1 0.1262 0.3738 0.0000
Sc1 0.1928 0.6928 0.5000
Si1 0.0000 0.0000 0.0000
```

V	22.71	Å³ per atom
magnetization	0.04	μB/f.u.
calculated density	2.40	g/cm3



Stability, highest: <x>



<w>
## NaSc3Si (GGA-PBE)

Data for NaSc3Si after structural relaxation.

```
data_NaSc3Si
_symmetry_space_group_name_H-M 'P m -3 m'
_symmetry_Int_Tables_number 221
_symmetry_space_group_name_Hall '-P 4 2 3'
_cell_length_a 4.9849
_cell_length_b 4.9849
_cell_length_c 4.9849
_cell_angle_alpha 90.00
_cell_angle_beta 90.00
_cell_angle_gamma 90.00
loop_
_atom_site_label
_atom_site_fract_x
_atom_site_fract_y
_atom_site_fract_z
Na1 0.0000 0.0000 0.0000
Sc1 0.0000 0.0000 0.5000
Si1 0.5000 0.5000 0.5000
```

V	24.77	Å³ per atom
magnetization	2.03	μB/f.u.
calculated density	2.49	g/cm3



<x>
## NaSc3Si (GGA-PBE)

Data for NaSc3Si after structural relaxation.

```
data_NaSc3Si
_symmetry_space_group_name_H-M 'P m -3 m'
_symmetry_Int_Tables_number 221
_symmetry_space_group_name_Hall '-P 4 2 3'
_cell_length_a 5.1736
_cell_length_b 5.1736
_cell_length_c 5.1736
_cell_angle_alpha 90.00
_cell_angle_beta 90.00
_cell_angle_gamma 90.00
loop_
_atom_site_label
_atom_site_fract_x
_atom_site_fract_y
_atom_site_fract_z
Na1 0.0000 0.0000 0.0000
Sc1 0.0000 0.5000 0.5000
Si1 0.5000 0.5000 0.5000
```

V	27.70	Å³ per atom
magnetization	2.42	μB/f.u.
calculated density	2.23	g/cm3



Stability, highest: <x>